VASP calculation (PBE) on a relaxed Ce2ErSnC crystal.

The structure in POSCAR format:
```
Ce2ErSnC
1.0
4.952 0.000 0.000
0.000 4.952 0.000
0.000 0.000 4.906
Ce Er Sn C
2 1 1 1
Cartesian
0.000 2.476 0.000
2.476 0.000 0.000
0.000 0.000 2.453
2.476 2.476 2.453
0.000 0.000 0.000
```

- Space-group type: P4/mmm (123)
- Mass density: 7.98 g/cm³
- Total magnetic moment: 1.3 μB per cell
- Density of states at the Fermi level: 1.8000 states/eV per atom
- ΔE_f: -0.500 eV/atom
- E_tot: -32.16 eV/f.u.
- Calculated volume: 120.3 Å³/cell